The following is a DFT calculation (PBE) of a relaxed structure of In2SiBiCl.

- SG = P4/mmm (123)
- D(E_F) (states/eV per atom) = 0.549
- VASP energy (eV for the cell shown) = -15.602
- volume (Å³ per atom) = 32.1

Cell: 5.455 5.394 5.455 Å, 90.00 90.00 90.00°
Positions (direct):
1 In 0.000 0.000 0.500
2 In 0.500 0.000 0.000
3 Cl 0.500 0.500 0.500
4 Bi 0.000 0.500 0.000
5 Si 0.000 0.000 0.000